Entry from Alexandria: a relaxed K2TcWO6 crystal (GGA+U).

POSCAR file:
```
K2TcWO6
1.0
-2.6852 -2.7184 -0.9968
2.3204 -0.4162 -5.1153
3.4163 -4.0640 1.8804
O W K Tc
6 1 2 1
Cartesian
2.6005 -5.1355 -3.0852
0.8577 -3.0623 -4.0445
-0.3885 -0.3934 -0.1442
1.4168 -4.9232 -0.4757
2.4798 -2.6335 -1.7617
-0.3260 -2.8499 -1.4350
-1.7311 -1.7526 -0.6427
1.3199 -2.4251 0.7961
0.7719 -0.6012 -2.7018
1.1373 -3.9927 -2.2601
```

Values from the calculation:
- E (eV/atom) = -6.778
- DOS(E_F) (states/eV/f.u.) = 2.1
- spin magnetization (μB/atom) = 0.037